Density functional theory data (GGA-PBE) for a geometry-optimized Ca2Ac5LaNd structure.

Energy of formation from the pure elements in kJ/mol of atoms: 27.78
Space group: I4/mcm, No. 140

POSCAR file:
```
Ca2Ac5LaNd
1.0
-1.4183 -2.8373 8.7244
9.1705 -0.6903 1.2663
-3.6250 10.2178 -2.2052
Ac Ca Nd La
10 4 2 2
direct
0.4370 0.3560 0.2929
0.0630 0.5630 0.7071
0.8560 0.9370 0.2929
0.1440 0.0630 0.7071
0.9370 0.4370 0.2929
0.0000 0.0000 0.0000
0.3560 0.8560 0.2929
0.6440 0.1440 0.7071
0.5630 0.6440 0.7071
0.5000 0.5000 0.0000
0.6171 0.1171 0.0000
0.3829 0.8829 0.0000
0.8829 0.6171 0.0000
0.1171 0.3829 0.0000
0.2500 0.2500 0.5000
0.7500 0.7500 0.5000
0.7500 0.2500 0.5000
0.2500 0.7500 0.5000
```